(1)
DFT (GGA-PBE) results for LiTbPa2N4 after structural relaxation.

Total magnetization ... 0.000 μB/atom
SG ... No. 10
Formation energy from raw total energies ... -1.4013 eV/atom
D(E_F) ... 0.39 states/eV per atom

Unit cell a=5.8281 b=3.5412 c=6.0860 alpha=90.00 beta=109.23 gamma=90.00
With the nearest neighbours (Å) after each atom.
Fractional coordinates of all 8 atoms:
Li  0.0000  0.0000  0.0000  6 N 2.48-2.63
Tb  0.0000  0.5000  0.5000  6 N 2.54-2.55
Pa  0.5000  0.0000  0.5000  6 N 2.33-2.38
Pa  0.5000  0.5000  0.0000  6 N 2.33-2.40
N  0.2712  0.0000  0.7602  3 Pa 2.38-2.40, 1 Li 2.48, 2 Tb 2.55
N  0.2931  0.5000  0.2692  3 Pa 2.33, 1 Tb 2.54
N  0.7069  0.5000  0.7308  3 Pa 2.33, 1 Tb 2.54
N  0.7288  0.0000  0.2398  3 Pa 2.38-2.40, 1 Li 2.48, 2 Tb 2.55


(2)
DFT (GGA-PBE) results for CoWSe after structural relaxation.

Total magnetization ... 0.338 μB/atom
SG ... No. 156
Formation energy from raw total energies ... 0.3668 eV/atom
ΔE to the lowest computed polymorph ... 107 meV per atom
D(E_F) ... 1.17 states/eV per atom

Unit cell a=2.9811 b=2.9811 c=5.9270 alpha=90.00 beta=90.00 gamma=120.00
With the nearest neighbours (Å) after each atom.
Fractional coordinates of all 3 atoms:
Co  0.0000  0.0000  0.0000  3 W 2.58, 3 Se 2.68
W  0.6667  0.3333  0.6768  3 Co 2.58, 3 Se 2.60
Se  0.3333  0.6667  0.3475  3 W 2.60, 3 Co 2.68


(3)
DFT (GGA-PBE) results for Ac4CeTm3Sb8 after structural relaxation.

Total magnetization ... 0.040 μB/atom
SG ... No. 166
Formation energy from raw total energies ... -1.1160 eV/atom
D(E_F) ... 0.41 states/eV per atom

Unit cell a=9.1805 b=9.1805 c=9.1805 alpha=60.03 beta=60.03 gamma=60.03
With the nearest neighbours (Å) after each atom.
Fractional coordinates of all 16 atoms:
Ac  0.0000  0.0000  0.0000  6 Sb 3.33
Ac  0.0000  0.5000  0.5000  6 Sb 3.37
Ac  0.5000  0.0000  0.5000  6 Sb 3.37
Ac  0.5000  0.5000  0.0000  6 Sb 3.37
Ce  0.5000  0.5000  0.5000  6 Sb 3.17
Tm  0.0000  0.0000  0.5000  6 Sb 3.13-3.14
Tm  0.0000  0.5000  0.0000  6 Sb 3.13-3.14
Tm  0.5000  0.0000  0.0000  6 Sb 3.13-3.14
Sb  0.2384  0.7437  0.7437  2 Tm 3.13, 1 Ce 3.17, 3 Ac 3.33-3.37
Sb  0.2411  0.2411  0.2411  3 Tm 3.14, 3 Ac 3.37
Sb  0.2563  0.2563  0.7616  2 Tm 3.13, 1 Ce 3.17, 3 Ac 3.33-3.37
Sb  0.2563  0.7616  0.2563  2 Tm 3.13, 1 Ce 3.17, 3 Ac 3.33-3.37
Sb  0.7437  0.2384  0.7437  2 Tm 3.13, 1 Ce 3.17, 3 Ac 3.33-3.37
Sb  0.7437  0.7437  0.2384  2 Tm 3.13, 1 Ce 3.17, 3 Ac 3.33-3.37
Sb  0.7589  0.7589  0.7589  3 Tm 3.14, 3 Ac 3.37
Sb  0.7616  0.2563  0.2563  2 Tm 3.13, 1 Ce 3.17, 3 Ac 3.33-3.37


(4)
DFT (GGA-PBE) results for Pr3CdSn2 after structural relaxation.

Total magnetization ... 0.000 μB/atom
SG ... No. 15
D(E_F) ... 0.71 states/eV per atom
Formation enthalpy at 0 K ... -530 meV/atom

Unit cell a=9.1329 b=9.1329 c=6.4932 alpha=102.79 beta=102.79 gamma=42.32
With the nearest neighbours (Å) after each atom.
Fractional coordinates of all 12 atoms:
Pr  0.1522  0.8478  0.7500  4 Cd 3.22-3.52, 4 Sn 3.25-3.35
Pr  0.2156  0.4357  0.3944  5 Sn 3.23-3.56, 1 Cd 3.33, 2 Pr 3.56
Pr  0.4357  0.2156  0.8944  5 Sn 3.23-3.56, 1 Cd 3.33, 2 Pr 3.56
Pr  0.5643  0.7844  0.1056  5 Sn 3.23-3.56, 1 Cd 3.33, 2 Pr 3.56
Pr  0.7844  0.5643  0.6056  5 Sn 3.23-3.56, 1 Cd 3.33, 2 Pr 3.56
Pr  0.8478  0.1522  0.2500  4 Cd 3.22-3.52, 4 Sn 3.25-3.35
Cd  0.3595  0.6405  0.2500  6 Pr 3.22-3.52, 2 Sn 3.33
Cd  0.6405  0.3595  0.7500  6 Pr 3.22-3.52, 2 Sn 3.33
Sn  0.0502  0.2615  0.0449  7 Pr 3.23-3.56, 1 Cd 3.33, 2 Sn 3.53
Sn  0.2615  0.0502  0.5449  7 Pr 3.23-3.56, 1 Cd 3.33, 2 Sn 3.53
Sn  0.7385  0.9498  0.4551  7 Pr 3.23-3.56, 1 Cd 3.33, 2 Sn 3.53
Sn  0.9498  0.7385  0.9551  7 Pr 3.23-3.56, 1 Cd 3.33, 2 Sn 3.53


(5)
DFT (GGA-PBE) results for Ta2Ti2Ga7 after structural relaxation.

Total magnetization ... 0.000 μB/atom
SG ... No. 12
D(E_F) ... 0.94 states/eV per atom
Formation enthalpy at 0 K ... 298 meV/atom

Unit cell a=5.8981 b=5.8981 c=6.2774 alpha=90.12 beta=90.12 gamma=76.80
With the nearest neighbours (Å) after each atom.
Fractional coordinates of all 11 atoms:
Ta  0.2158  0.2158  0.0000  7 Ga 2.63-2.73
Ta  0.7842  0.7842  0.0000  7 Ga 2.63-2.73
Ti  0.3298  0.6702  0.5000  1 Ti 2.49, 6 Ga 2.70-2.73
Ti  0.6702  0.3298  0.5000  1 Ti 2.49, 6 Ga 2.70-2.73
Ga  0.0004  0.0004  0.2974  1 Ga 2.54, 2 Ti 2.73, 2 Ta 2.73
Ga  0.9996  0.9996  0.7026  1 Ga 2.54, 2 Ti 2.73, 2 Ta 2.73
Ga  0.9995  0.4997  0.2996  1 Ga 2.52, 2 Ta 2.64, 2 Ti 2.70
Ga  0.0005  0.5003  0.7004  1 Ga 2.52, 2 Ta 2.64, 2 Ti 2.70
Ga  0.4997  0.9995  0.2996  1 Ga 2.52, 2 Ta 2.64, 2 Ti 2.70
Ga  0.5003  0.0005  0.7004  1 Ga 2.52, 2 Ta 2.64, 2 Ti 2.70
Ga  0.5000  0.5000  0.0000  2 Ta 2.63


(6)
DFT (GGA-PBE) results for Mg3Np3FeN8 after structural relaxation.

Total magnetization ... 0.334 μB/atom
SG ... No. 166
Formation energy from raw total energies ... -0.7171 eV/atom
D(E_F) ... 0.86 states/eV per atom

Unit cell a=6.4111 b=6.4111 c=6.4111 alpha=60.25 beta=60.25 gamma=60.25
With the nearest neighbours (Å) after each atom.
Fractional coordinates of all 15 atoms:
Mg  0.0000  0.5000  0.5000  6 N 2.24-2.32
Mg  0.5000  0.0000  0.5000  6 N 2.24-2.32
Mg  0.5000  0.5000  0.0000  6 N 2.24-2.32
Np  0.0000  0.0000  0.5000  6 N 2.24-2.31
Np  0.0000  0.5000  0.0000  6 N 2.24-2.31
Np  0.5000  0.0000  0.0000  6 N 2.24-2.31
Fe  0.5000  0.5000  0.5000  6 N 2.07
N  0.2538  0.2538  0.2538  3 Mg 2.24, 3 Np 2.31
N  0.2631  0.7283  0.7283  1 Fe 2.07, 2 Np 2.24, 2 Mg 2.32
N  0.2717  0.2717  0.7369  1 Fe 2.07, 2 Np 2.24, 2 Mg 2.32
N  0.2717  0.7369  0.2717  1 Fe 2.07, 2 Np 2.24, 2 Mg 2.32
N  0.7283  0.2631  0.7283  1 Fe 2.07, 2 Np 2.24, 2 Mg 2.32
N  0.7283  0.7283  0.2631  1 Fe 2.07, 2 Np 2.24, 2 Mg 2.32
N  0.7369  0.2717  0.2717  1 Fe 2.07, 2 Np 2.24, 2 Mg 2.32
N  0.7462  0.7462  0.7462  3 Mg 2.24, 3 Np 2.31


(7)
DFT (GGA-PBE) results for Pr4Sn8Pt after structural relaxation.

Total magnetization ... 0.000 μB/atom
SG ... No. 25
D(E_F) ... 0.51 states/eV per atom
Formation enthalpy at 0 K ... -683 meV/atom

Unit cell a=4.4988 b=4.5597 c=17.5382 alpha=90.00 beta=90.00 gamma=90.00
With the nearest neighbours (Å) after each atom.
Fractional coordinates of all 13 atoms:
Pr  0.0000  0.0000  0.0000  10 Sn 3.25-3.42
Pr  0.0000  0.5000  0.4877  10 Sn 3.28-3.64
Pr  0.5000  0.0000  0.7878  8 Sn 3.43-3.67, 4 Pt 3.49
Pr  0.5000  0.5000  0.2896  10 Sn 3.26-3.50
Sn  0.0000  0.0000  0.3258  2 Sn 3.03, 4 Pr 3.26
Sn  0.0000  0.0000  0.6258  2 Pt 2.70
Sn  0.0000  0.5000  0.1435  4 Sn 3.20, 4 Pr 3.40-3.41
Sn  0.0000  0.5000  0.8575  1 Pt 2.61
Sn  0.5000  0.0000  0.1471  4 Sn 3.20, 4 Pr 3.38-3.42
Sn  0.5000  0.0000  0.4412  2 Sn 3.03, 4 Pr 3.30
Sn  0.5000  0.5000  0.6240  2 Pt 2.69
Sn  0.5000  0.5000  0.9675  2 Sn 2.96, 4 Pr 3.25
Pt  0.0000  0.5000  0.7085  5 Sn 2.61-2.70


(8)
DFT (GGA-PBE) results for Tb4DyY5 after structural relaxation.

Total magnetization ... 0.000 μB/atom
SG ... No. 79
ΔE to the lowest computed polymorph ... 286 meV per atom
D(E_F) ... 1.59 states/eV per atom
Formation enthalpy at 0 K ... 304 meV/atom

Unit cell a=7.9062 b=7.9062 c=7.9062 alpha=99.01 beta=99.01 gamma=133.36
With the nearest neighbours (Å) after each atom.
Fractional coordinates of all 10 atoms:
Tb  0.0481  0.3496  0.3978  4 Y 3.23-3.51, 1 Tb 3.24
Tb  0.3496  0.9519  0.3015  4 Y 3.23-3.51, 1 Tb 3.24
Tb  0.6504  0.0481  0.6985  4 Y 3.23-3.51, 1 Tb 3.24
Tb  0.9519  0.6504  0.6022  4 Y 3.23-3.51, 1 Tb 3.24
Dy  0.7680  0.7680  0.0000  1 Y 2.88
Y  0.2282  0.2282  0.0000  1 Dy 2.88
Y  0.2688  0.6497  0.9160  4 Tb 3.23-3.51, 1 Dy 3.29, 1 Y 3.31
Y  0.3528  0.2688  0.6192  4 Tb 3.23-3.51, 1 Dy 3.29, 1 Y 3.31
Y  0.6497  0.7336  0.3808  4 Tb 3.23-3.51, 1 Dy 3.29, 1 Y 3.31
Y  0.7336  0.3528  0.0840  4 Tb 3.23-3.51, 1 Dy 3.29, 1 Y 3.31